Record 1
A plane-wave DFT calculation with PBE-GGA was carried out for an optimized crystal structure of Dy2MoWN6.

Calculated values
As for the energy relative to the elements, uncorrected: -857 meV/atom. The calculation puts the uncorrected energy at -9.151 eV/atom.

Lattice parameters (Å, degrees): 4.771 5.350 5.350 90.00 90.00 90.00
Fractional positions:
Dy1 0.002 0.500 0.000
Dy2 0.002 0.000 0.500
Mo1 0.582 0.500 0.500
W1 0.585 0.000 0.000
N1 0.716 0.250 0.250
N2 0.716 0.250 0.750
N3 0.208 0.500 0.500
N4 0.205 0.000 0.000
N5 0.716 0.750 0.750
N6 0.716 0.750 0.250

---

Record 2
A plane-wave DFT calculation with PBE-GGA was carried out for an optimized crystal structure of CaTmIn2.

Calculated values
The calculation puts the energy of formation at -426 meV/atom. The calculation puts the uncorrected energy at -3.413 eV/atom.

Lattice parameters (Å, degrees): 5.354 5.354 5.354 60.00 60.00 60.00
Fractional positions:
Ca1 0.750 0.750 0.750
Tm1 0.250 0.250 0.250
In1 0.000 0.000 0.000
In2 0.500 0.500 0.500

---

Record 3
A plane-wave DFT calculation with PBE-GGA was carried out for an optimized crystal structure of Ba2LiCd3Ag12.

Calculated values
The calculation puts the energy of formation at 49 meV/atom. The calculation puts the uncorrected energy at -2.325 eV/atom.

Lattice parameters (Å, degrees): 10.769 10.769 10.769 39.01 39.01 39.01
Fractional positions:
Ba1 0.655 0.655 0.655
Ba2 0.345 0.345 0.345
Li1 0.000 0.000 0.000
Cd1 0.500 0.000 0.000
Cd2 0.000 0.500 0.000
Cd3 0.000 0.000 0.500
Ag1 0.421 0.421 0.813
Ag2 0.937 0.937 0.337
Ag3 0.337 0.937 0.937
Ag4 0.813 0.421 0.421
Ag5 0.937 0.337 0.937
Ag6 0.421 0.813 0.421
Ag7 0.579 0.579 0.187
Ag8 0.063 0.063 0.663
Ag9 0.663 0.063 0.063
Ag10 0.187 0.579 0.579
Ag11 0.063 0.663 0.063
Ag12 0.579 0.187 0.579

---

Record 4
A plane-wave DFT calculation with PBE-GGA was carried out for an optimized crystal structure of LaReHg2.

Calculated values
The calculation puts the energy of formation at 446 meV/atom. For the distance to the lowest polymorph of the same formula, the calculation gives 117 meV per atom. The calculation puts the uncorrected energy at -4.048 eV/atom.

Lattice parameters (Å, degrees): 4.327 4.327 4.819 90.00 90.00 90.00
Fractional positions:
Hg1 0.000 0.000 0.000
Hg2 0.500 0.500 0.000
La1 0.500 0.000 0.500
Re1 0.000 0.500 0.500

---

Record 5
A plane-wave DFT calculation with PBE-GGA was carried out for an optimized crystal structure of RbBaTi2.

Calculated values
The calculation puts the energy of formation at 1383 meV/atom. For the distance to the lowest polymorph of the same formula, the calculation gives 0 meV per atom. The calculation puts the uncorrected energy at -3.287 eV/atom.

Lattice parameters (Å, degrees): 4.822 4.822 12.732 79.08 79.08 90.00
Fractional positions:
Ba1 0.000 0.000 0.000
Ba2 0.750 0.250 0.500
Rb1 0.500 0.500 0.000
Rb2 0.250 0.750 0.500
Ti1 0.781 0.125 0.250
Ti2 0.969 0.625 0.250
Ti3 0.375 0.219 0.750
Ti4 0.875 0.031 0.750

---

Record 6
A plane-wave DFT calculation with PBE-GGA was carried out for an optimized crystal structure of Tm2Si.

Calculated values
As for the energy relative to the elements, uncorrected: -370 meV/atom. The calculation puts the uncorrected energy at -5.159 eV/atom.

Lattice parameters (Å, degrees): 3.352 3.352 6.867 104.06 104.06 90.17
Fractional positions:
Si1 0.500 0.500 0.000
Tm1 0.139 0.139 0.279
Tm2 0.861 0.861 0.721

---

Record 7
A plane-wave DFT calculation with PBE-GGA was carried out for an optimized crystal structure of Ac2Be4AlSi3.

Calculated values
As for the energy relative to the elements, uncorrected: -277 meV/atom. The calculation puts the uncorrected energy at -4.590 eV/atom.

Lattice parameters (Å, degrees): 4.186 4.186 9.878 90.00 90.00 90.00
Fractional positions:
Ac1 0.500 0.000 0.242
Ac2 0.000 0.500 0.758
Be1 0.500 0.500 0.000
Be2 0.000 0.000 0.000
Be3 0.500 0.000 0.632
Be4 0.000 0.500 0.368
Al1 0.500 0.500 0.500
Si1 0.000 0.000 0.500
Si2 0.500 0.000 0.878
Si3 0.000 0.500 0.122

---

Record 8
A plane-wave DFT calculation with PBE-GGA was carried out for an optimized crystal structure of SiNi3Au.

Calculated values
For the distance to the lowest polymorph of the same formula, the calculation gives 1084 meV per atom. As for the energy relative to the elements, uncorrected: 1411 meV/atom. The calculation puts the uncorrected energy at -3.798 eV/atom.

Lattice parameters (Å, degrees): 4.639 4.639 4.639 90.00 90.00 90.00
Fractional positions:
Ni1 0.000 0.500 0.000
Ni2 0.000 0.000 0.500
Ni3 0.500 0.000 0.000
Si1 0.500 0.500 0.500
Au1 0.000 0.000 0.000

---

Record 9
A plane-wave DFT calculation with PBE-GGA was carried out for an optimized crystal structure of Co2RePt.

Calculated values
The calculation puts the energy of formation at 549 meV/atom. For the distance to the lowest polymorph of the same formula, the calculation gives 561 meV per atom. The calculation puts the uncorrected energy at -7.626 eV/atom.

Lattice parameters (Å, degrees): 6.558 6.558 5.335 52.07 52.07 90.00
Fractional positions:
Re1 0.500 0.500 0.000
Re2 0.250 0.750 0.500
Co1 0.600 0.125 0.250
Co2 0.150 0.625 0.250
Co3 0.375 0.400 0.750
Co4 0.875 0.850 0.750
Pt1 0.000 0.000 0.000
Pt2 0.750 0.250 0.500

---

Record 10
A plane-wave DFT calculation with PBE-GGA was carried out for an optimized crystal structure of AcDySnHg.

Calculated values
The calculation puts the energy of formation at -519 meV/atom. The calculation puts the uncorrected energy at -3.773 eV/atom.

Lattice parameters (Å, degrees): 5.539 5.539 5.539 60.00 60.00 60.00
Fractional positions:
Ac1 0.500 0.500 0.500
Hg1 0.750 0.750 0.750
Sn1 0.250 0.250 0.250
Dy1 0.000 0.000 0.000

---

Record 11
A plane-wave DFT calculation with PBE-GGA was carried out for an optimized crystal structure of TbSm5Tl2.

Calculated values
The calculation puts the energy of formation at -58 meV/atom. For the distance to the lowest polymorph of the same formula, the calculation gives 51 meV per atom. The calculation puts the uncorrected energy at -4.178 eV/atom.

Lattice parameters (Å, degrees): 5.513 5.513 20.313 90.00 90.00 120.00
Fractional positions:
Tb1 0.333 0.667 0.250
Tb2 0.667 0.333 0.750
Sm1 0.000 0.000 0.337
Sm2 0.000 0.000 0.163
Sm3 0.667 0.333 0.250
Sm4 0.000 0.000 0.837
Sm5 0.667 0.333 0.062
Sm6 0.333 0.667 0.750
Sm7 0.333 0.667 0.938
Sm8 0.333 0.667 0.562
Sm9 0.667 0.333 0.438
Sm10 0.000 0.000 0.663
Tl1 0.667 0.333 0.596
Tl2 0.333 0.667 0.096
Tl3 0.333 0.667 0.404
Tl4 0.667 0.333 0.904

---

Record 12
A plane-wave DFT calculation with PBE-GGA was carried out for an optimized crystal structure of CeHoRh2.

Calculated values
The calculation puts the energy of formation at -827 meV/atom. The calculation puts the uncorrected energy at -7.131 eV/atom.

Lattice parameters (Å, degrees): 3.769 4.266 5.608 90.00 109.69 90.00
Fractional positions:
Ce1 0.439 0.500 0.418
Ho1 0.720 0.000 0.978
Rh1 0.180 0.500 0.898
Rh2 0.992 0.000 0.523

---

Record 13
A plane-wave DFT calculation with PBE-GGA was carried out for an optimized crystal structure of YTa2In.

Calculated values
The calculation puts the energy of formation at 163 meV/atom. The calculation puts the uncorrected energy at -8.064 eV/atom.

Lattice parameters (Å, degrees): 3.067 3.067 9.752 90.00 90.00 108.21
Fractional positions:
In1 0.500 0.500 0.769
Ta1 0.000 0.000 0.014
Ta2 0.500 0.500 0.228
Y1 0.000 0.000 0.490

---

Record 14
A plane-wave DFT calculation with PBE-GGA was carried out for an optimized crystal structure of Ti5MnGa4.

Calculated values
The calculation puts the energy of formation at -42 meV/atom. The calculation puts the uncorrected energy at -6.117 eV/atom.

Lattice parameters (Å, degrees): 5.110 6.311 6.311 80.57 66.12 66.12
Fractional positions:
Ti1 0.897 0.365 0.895
Ti2 0.262 0.895 0.635
Ti3 0.792 0.105 0.365
Ti4 0.156 0.635 0.105
Ti5 0.405 0.000 0.000
Mn1 0.910 0.000 0.000
Ga1 0.463 0.404 0.715
Ga2 0.867 0.715 0.596
Ga3 0.177 0.285 0.404
Ga4 0.581 0.596 0.285

---

Record 15
A plane-wave DFT calculation with PBE-GGA was carried out for an optimized crystal structure of SbP2CO.

Calculated values
For the distance to the lowest polymorph of the same formula, the calculation gives 883 meV per atom. As for the energy relative to the elements, uncorrected: 1803 meV/atom. The calculation puts the uncorrected energy at -4.022 eV/atom.

Lattice parameters (Å, degrees): 5.064 5.064 3.856 90.00 90.00 90.00
Fractional positions:
Sb1 0.000 0.000 0.000
C1 0.500 0.500 0.500
O1 0.000 0.000 0.500
P1 0.000 0.500 0.000
P2 0.500 0.000 0.000

---

Record 16
A plane-wave DFT calculation with PBE-GGA was carried out for an optimized crystal structure of KIn4Pb.

Calculated values
The calculation puts the energy of formation at -65 meV/atom. For the distance to the lowest polymorph of the same formula, the calculation gives 0 meV per atom. The calculation puts the uncorrected energy at -2.691 eV/atom.

Lattice parameters (Å, degrees): 5.318 5.318 7.694 90.00 90.00 120.00
Fractional positions:
K1 0.000 0.000 0.500
In1 0.667 0.333 0.786
In2 0.333 0.667 0.214
In3 0.667 0.333 0.214
In4 0.333 0.667 0.786
Pb1 0.000 0.000 0.000

---

Record 17
A plane-wave DFT calculation with PBE-GGA was carried out for an optimized crystal structure of ZrBiPd2.

Calculated values
The calculation puts the energy of formation at -565 meV/atom. The calculation puts the uncorrected energy at -6.269 eV/atom.

Lattice parameters (Å, degrees): 3.580 3.580 6.322 90.00 90.00 90.00
Fractional positions:
Zr1 0.500 0.500 0.000
Bi1 0.500 0.500 0.500
Pd1 0.000 0.000 0.783
Pd2 0.000 0.000 0.217

---

Record 18
A plane-wave DFT calculation with PBE-GGA was carried out for an optimized crystal structure of TbPmDyTm2.

Calculated values
The calculation puts the energy of formation at 405 meV/atom. The calculation puts the uncorrected energy at -4.180 eV/atom.

Lattice parameters (Å, degrees): 7.133 8.339 7.058 126.21 90.00 90.00
Fractional positions:
Tb1 0.250 0.724 0.448
Tb2 0.750 0.276 0.552
Pm1 0.250 0.000 0.999
Pm2 0.750 0.000 0.001
Dy1 0.750 0.723 0.446
Dy2 0.250 0.277 0.554
Tm1 0.500 0.313 0.000
Tm2 0.000 0.687 0.000
Tm3 0.500 0.687 0.000
Tm4 0.000 0.313 0.000

---

Record 19
A plane-wave DFT calculation with PBE-GGA was carried out for an optimized crystal structure of BeCd2Hg.

Calculated values
The calculation puts the energy of formation at 207 meV/atom. For the distance to the lowest polymorph of the same formula, the calculation gives 0 meV per atom. The calculation puts the uncorrected energy at -1.257 eV/atom.

Lattice parameters (Å, degrees): 6.979 6.979 6.979 156.20 144.33 43.34
Fractional positions:
Be1 0.250 0.750 0.500
Hg1 0.750 0.250 0.500
Cd1 0.067 0.067 0.000
Cd2 0.433 0.433 0.000

---

Record 20
A plane-wave DFT calculation with PBE-GGA was carried out for an optimized crystal structure of Cs3Cd5Hg2.

Calculated values
The calculation puts the energy of formation at -76 meV/atom. The calculation puts the uncorrected energy at -0.850 eV/atom.

Lattice parameters (Å, degrees): 8.252 10.605 10.605 67.80 67.16 67.16
Fractional positions:
Cs1 0.250 0.003 0.997
Cs2 0.750 0.997 0.003
Cs3 0.379 0.391 0.856
Cs4 0.621 0.609 0.144
Cs5 0.879 0.856 0.391
Cs6 0.121 0.144 0.609
Cd1 0.250 0.499 0.501
Cd2 0.750 0.501 0.499
Cd3 0.507 0.745 0.744
Cd4 0.993 0.256 0.255
Cd5 0.493 0.255 0.256
Cd6 0.007 0.744 0.745
Cd7 0.121 0.481 0.275
Cd8 0.879 0.519 0.725
Cd9 0.621 0.275 0.481
Cd10 0.379 0.725 0.519
Hg1 0.158 0.698 0.991
Hg2 0.842 0.302 0.009
Hg3 0.658 0.991 0.698
Hg4 0.342 0.009 0.302